Density functional theory data (GGA-PBE) for a relaxed Ce2Ga3SnPd4 crystal.

a = 4.3275 Å, b = 4.3275 Å, c = 10.7197 Å
α = 90.00°, β = 90.00°, γ = 90.00°
Fractional positions:
Ce1 0.0000 0.5000 0.2445
Ce2 0.5000 0.0000 0.7555
Ga1 0.0000 0.5000 0.8765
Ga2 0.5000 0.0000 0.1235
Ga3 0.5000 0.5000 0.5000
Sn1 0.0000 0.0000 0.5000
Pd1 0.0000 0.0000 0.0000
Pd2 0.0000 0.5000 0.6461
Pd3 0.5000 0.0000 0.3539
Pd4 0.5000 0.5000 0.0000

Output
Symmetry: P-4m2 (115)
Fermi-level density of states: 1.238 states/eV per atom
ρ: 8.55 g cm⁻³
Total magnetic moment: 1.61 μB per formula unit
E_form: -739 meV/atom


Density functional theory data (GGA-PBE) for a relaxed Ce2Ga4Sn2Pd crystal.

a = 6.5585 Å, b = 6.5585 Å, c = 6.5585 Å
α = 120.76°, β = 120.76°, γ = 88.69°
Fractional positions:
Ce1 0.2500 0.7500 0.5000
Ce2 0.7500 0.2500 0.5000
Ga1 0.2220 0.2220 0.4439
Ga2 0.2220 0.7780 0.0000
Ga3 0.7780 0.2220 0.0000
Ga4 0.7780 0.7780 0.5561
Sn1 0.2171 0.2171 0.0000
Sn2 0.7829 0.7829 0.0000
Pd1 0.5000 0.5000 0.0000

Output
Symmetry: I4/mmm (139)
Fermi-level density of states: 1.314 states/eV per atom
ρ: 7.61 g cm⁻³
Total magnetic moment: 1.80 μB per formula unit
E_form: -540 meV/atom


Density functional theory data (GGA-PBE) for a relaxed Ce2GaSn3Pd4 crystal.

a = 4.5338 Å, b = 4.5338 Å, c = 10.6297 Å
α = 90.00°, β = 90.00°, γ = 90.00°
Fractional positions:
Ce1 0.0000 0.5000 0.2480
Ce2 0.5000 0.0000 0.7520
Ga1 0.5000 0.5000 0.0000
Sn1 0.0000 0.0000 0.0000
Sn2 0.0000 0.5000 0.6319
Sn3 0.5000 0.0000 0.3681
Pd1 0.0000 0.0000 0.5000
Pd2 0.0000 0.5000 0.8758
Pd3 0.5000 0.0000 0.1242
Pd4 0.5000 0.5000 0.5000

Output
Symmetry: P-4m2 (115)
Fermi-level density of states: 1.548 states/eV per atom
ρ: 8.60 g cm⁻³
Total magnetic moment: 1.82 μB per formula unit
E_form: -718 meV/atom


Density functional theory data (GGA-PBE) for a relaxed CeGa2SnPd5 crystal.

a = 4.2517 Å, b = 4.2517 Å, c = 9.2025 Å
α = 90.00°, β = 90.00°, γ = 90.00°
Fractional positions:
Ce1 0.0000 0.0000 0.0000
Ga1 0.5000 0.5000 0.3672
Ga2 0.5000 0.5000 0.6328
Sn1 0.0000 0.0000 0.5000
Pd1 0.0000 0.5000 0.2197
Pd2 0.0000 0.5000 0.7803
Pd3 0.5000 0.0000 0.2197
Pd4 0.5000 0.0000 0.7803
Pd5 0.5000 0.5000 0.0000

Output
Symmetry: P4/mmm (123)
Fermi-level density of states: 0.709 states/eV per atom
ρ: 9.29 g cm⁻³
Total magnetic moment: 0.36 μB per formula unit
E_form: -542 meV/atom


Density functional theory data (GGA-PBE) for a relaxed Ce2GaSnPd6 crystal.

a = 6.4740 Å, b = 6.4740 Å, c = 7.9147 Å
α = 125.57°, β = 125.57°, γ = 50.78°
Fractional positions:
Ce1 0.0012 0.0012 0.2493
Ce2 0.9988 0.9988 0.7507
Ga1 0.5000 0.5000 0.0000
Sn1 0.5000 0.5000 0.5000
Pd1 0.0124 0.5085 0.7011
Pd2 0.3131 0.3131 0.0589
Pd3 0.4915 0.9876 0.2989
Pd4 0.5085 0.0124 0.7011
Pd5 0.6869 0.6869 0.9411
Pd6 0.9876 0.4915 0.2989

Output
Symmetry: C2/m (12)
Fermi-level density of states: 1.413 states/eV per atom
ρ: 9.35 g cm⁻³
Total magnetic moment: 1.48 μB per formula unit
E_form: -636 meV/atom


Density functional theory data (GGA-PBE) for a relaxed Sr2CeGa3Pd4 crystal.

a = 4.4881 Å, b = 4.4881 Å, c = 11.0436 Å
α = 90.00°, β = 90.00°, γ = 90.00°
Fractional positions:
Sr1 0.0000 0.5000 0.2249
Sr2 0.5000 0.0000 0.7751
Ce1 0.0000 0.0000 0.5000
Ga1 0.0000 0.5000 0.8859
Ga2 0.5000 0.0000 0.1141
Ga3 0.5000 0.5000 0.5000
Pd1 0.0000 0.0000 0.0000
Pd2 0.0000 0.5000 0.6543
Pd3 0.5000 0.0000 0.3457
Pd4 0.5000 0.5000 0.0000

Output
Symmetry: P-4m2 (115)
Fermi-level density of states: 1.129 states/eV per atom
ρ: 7.09 g cm⁻³
Total magnetic moment: 0.65 μB per formula unit
E_form: -680 meV/atom